# LiMg2Be2Pt5

A relaxed structure of LiMg2Be2Pt5 (PBE-GGA, the Alexandria database).

Results
The total moment is 0.00 Bohr magnetons per cell. The value obtained for the formation energy is -74 kJ/mol of atoms.

a = 9.278 Å, b = 9.278 Å, c = 3.244 Å
α = 90.00°, β = 90.00°, γ = 90.00°
Positions (direct):
Li  0.000  0.000  0.000
Li  0.500  0.500  0.000
Mg  0.174  0.326  0.000
Mg  0.326  0.826  0.000
Mg  0.674  0.174  0.000
Mg  0.826  0.674  0.000
Be  0.128  0.628  0.000
Be  0.372  0.128  0.000
Be  0.628  0.872  0.000
Be  0.872  0.372  0.000
Pt  0.000  0.500  0.500
Pt  0.071  0.794  0.500
Pt  0.206  0.071  0.500
Pt  0.294  0.571  0.500
Pt  0.429  0.294  0.500
Pt  0.500  0.000  0.500
Pt  0.571  0.706  0.500
Pt  0.706  0.429  0.500
Pt  0.794  0.929  0.500
Pt  0.929  0.206  0.500